Density functional theory data (PBE-GGA) for an optimized crystal structure of Al2SbPb. Values from VASP.

Output
M_tot = 0.0 μB per formula unit
Uncorrected formation energy = 0.2661 eV/atom
Total DFT energy (no corrections) = -3.5628 eV per atom
Polymorph energy (0 for the lowest one) = 140 meV/atom
Volume = 23.727 Å³/atom

```
&SYSTEM
  ibrav = 0, nat = 4, ntyp = 3
/
ATOMIC_SPECIES
Al 26.98 Al.upf
Sb 121.76 Sb.upf
Pb 207.20 Pb.upf
CELL_PARAMETERS angstrom
0.000 3.620 3.620
3.620 0.000 3.620
3.620 3.620 0.000
ATOMIC_POSITIONS crystal
Al 0.250 0.250 0.250
Sb 0.000 0.000 0.000
Pb 0.500 0.500 0.500
Al 0.750 0.750 0.750
```